Below is a relaxed GdSbF crystal, with properties calculated at the PBE level.

a = 4.858 Å, b = 4.006 Å, c = 4.006 Å
α = 120.00°, β = 90.00°, γ = 90.00°
Last column: magnetic moment on the atom in μB.
Element x y z (fractional)
Gd 0.167 0.667 0.333  6.90
F 0.167 0.000 0.000  0.00
Sb 0.667 0.333 0.667  -0.03

Calculated values
- V: 22.51 Å³/atom
- Space-group type: P-6m2, No. 187
- ΔE_f (raw): -2.090 eV/atom
- ΔE to the lowest computed polymorph: 0.0 kJ/mol of atoms


Below is a relaxed ScBiNO2 crystal, with properties calculated at the PBE level.

a = 4.241 Å, b = 4.241 Å, c = 4.296 Å
α = 90.00°, β = 90.00°, γ = 90.00°
Last column: magnetic moment on the atom in μB.
Element x y z (fractional)
Bi 0.000 0.000 0.000  -0.01
O 0.000 0.500 0.000  0.01
O 0.500 0.000 0.000  0.01
N 0.000 0.000 0.500  0.03
Sc 0.500 0.500 0.500  -0.38

Calculated values
- V: 15.46 Å³/atom
- Space-group type: P4/mmm, No. 123
- ΔE_f (raw): -0.354 eV/atom


Below is a relaxed KBe3Al crystal, with properties calculated at the PBE level.

a = 5.260 Å, b = 5.260 Å, c = 5.260 Å
α = 90.00°, β = 90.00°, γ = 90.00°
Element x y z (fractional)
Al 0.500 0.500 0.500
Be 0.000 0.500 0.000
Be 0.500 0.000 0.000
Be 0.000 0.000 0.500
K 0.000 0.000 0.000

Calculated values
- V: 29.11 Å³/atom
- Space-group type: Pm-3m, No. 221
- DFT formation energy: 2.349 eV per atom
- ΔE to the lowest computed polymorph: 134.9 kJ/mol of atoms


Below is a relaxed ReTe2MoN crystal, with properties calculated at the PBE level.

a = 5.404 Å, b = 5.404 Å, c = 3.719 Å
α = 90.00°, β = 90.00°, γ = 90.00°
Last column: magnetic moment on the atom in μB.
Element x y z (fractional)
Re 0.000 0.000 0.000  0.06
Te 0.000 0.500 0.000  -0.10
Te 0.500 0.000 0.000  -0.10
N 0.000 0.000 0.500  0.02
Mo 0.500 0.500 0.500  3.04

Calculated values
- V: 21.72 Å³/atom
- Space-group type: P4/mmm, No. 123
- ΔE_f (raw): 0.803 eV/atom
- ΔE to the lowest computed polymorph: 0.0 kJ/mol of atoms


Below is a relaxed Mn4C23 crystal, with properties calculated at the PBE level.

a = 6.988 Å, b = 6.988 Å, c = 6.988 Å
α = 90.00°, β = 90.00°, γ = 90.00°
Last column: magnetic moment on the atom in μB.
Element x y z (fractional)
C 0.000 0.125 0.697  -0.01
C 0.375 0.500 0.803  -0.01
C 0.500 0.000 0.750  0.02
C 0.303 0.000 0.875  -0.01
C 0.685 0.315 0.685  0.02
C 0.197 0.625 0.500  -0.01
C 0.875 0.303 0.000  -0.01
C 0.185 0.185 0.815  0.02
C 0.250 0.500 0.000  0.02
C 0.500 0.803 0.625  -0.01
C 0.500 0.000 0.250  0.02
C 0.803 0.625 0.500  -0.01
C 0.185 0.185 0.185  0.02
C 0.315 0.315 0.315  0.02
C 0.315 0.315 0.685  0.02
C 0.685 0.685 0.685  0.02
C 0.315 0.685 0.685  0.02
C 0.685 0.685 0.315  0.02
C 0.750 0.500 0.000  0.02
C 0.815 0.815 0.815  0.02
C 0.000 0.750 0.500  0.02
C 0.000 0.125 0.303  -0.01
C 0.197 0.375 0.500  -0.01
C 0.625 0.500 0.803  -0.01
C 0.125 0.303 0.000  -0.01
C 0.303 0.000 0.125  -0.01
C 0.000 0.875 0.697  -0.01
C 0.375 0.500 0.197  -0.01
C 0.000 0.250 0.500  0.02
C 0.815 0.185 0.815  0.02
C 0.815 0.185 0.185  0.02
C 0.803 0.375 0.500  -0.01
C 0.697 0.000 0.875  -0.01
C 0.697 0.000 0.125  -0.01
C 0.185 0.815 0.815  0.02
C 0.625 0.500 0.197  -0.01
C 0.500 0.803 0.375  -0.01
C 0.185 0.815 0.185  0.02
C 0.125 0.697 0.000  -0.01
C 0.875 0.697 0.000  -0.01
C 0.685 0.315 0.315  0.02
C 0.815 0.815 0.185  0.02
C 0.500 0.197 0.375  -0.01
C 0.000 0.875 0.303  -0.01
C 0.500 0.197 0.625  -0.01
C 0.315 0.685 0.315  0.02
Mn 0.000 0.500 0.250  3.37
Mn 0.250 0.000 0.500  3.37
Mn 0.500 0.500 0.500  2.45
Mn 0.750 0.000 0.500  3.37
Mn 0.000 0.000 0.000  2.45
Mn 0.500 0.750 0.000  3.37
Mn 0.000 0.500 0.750  3.37
Mn 0.500 0.250 0.000  3.37

Calculated values
- V: 6.32 Å³/atom
- Space-group type: Pm-3n, No. 223
- DFT formation energy: 1.183 eV per atom


Below is a relaxed Ba2TlBiRh crystal, with properties calculated at the PBE level.

a = 5.912 Å, b = 5.912 Å, c = 5.270 Å
α = 90.00°, β = 90.00°, γ = 90.00°
Element x y z (fractional)
Ba 0.000 0.500 0.000
Ba 0.500 0.000 0.000
Bi 0.500 0.500 0.500
Rh 0.000 0.000 0.000
Tl 0.000 0.000 0.500

Calculated values
- V: 36.84 Å³/atom
- Space-group type: P4/mmm, No. 123
- DFT formation energy: -0.419 eV per atom


Below is a relaxed SrZnO3 crystal, with properties calculated at the PBE level.

a = 3.969 Å, b = 3.969 Å, c = 3.969 Å
α = 90.00°, β = 90.00°, γ = 90.00°
Last column: magnetic moment on the atom in μB.
Element x y z (fractional)
O 0.995 0.993 0.502  -0.29
O 0.995 0.493 0.002  -0.29
O 0.495 0.493 0.501  -0.29
Sr 0.494 0.993 0.002  0.01
Zn 0.995 0.493 0.502  -0.04

Calculated values
- V: 12.51 Å³/atom
- Space-group type: Pm-3m, No. 221
- ΔE_f (raw): -1.452 eV/atom


Below is a relaxed PuSb2Pb crystal, with properties calculated at the PBE level.

a = 5.467 Å, b = 5.467 Å, c = 5.467 Å
α = 60.00°, β = 60.00°, γ = 60.00°
Last column: magnetic moment on the atom in μB.
Element x y z (fractional)
Pu 0.000 0.000 0.000  5.42
Sb 0.750 0.750 0.750  -0.01
Sb 0.250 0.250 0.250  -0.01
Pb 0.500 0.500 0.500  -0.02

Calculated values
- V: 28.88 Å³/atom
- Space-group type: Fm-3m, No. 225
- ΔE_f (raw): -0.174 eV/atom
- ΔE to the lowest computed polymorph: 12.6 kJ/mol of atoms